1.
Computed, not measured: crystalline CdPt2Pb at its relaxed geometry at the PBE level of DFT.

The structure in CIF format:
```
data_CdPt2Pb
_chemical_formula_sum 'Cd4 Pt8 Pb4'
_cell_length_a 6.778
_cell_length_b 6.778
_cell_length_c 6.778
_cell_angle_alpha 90.00
_cell_angle_beta 90.00
_cell_angle_gamma 90.00
_symmetry_space_group_name_H-M 'F -4 3 m'
_symmetry_Int_Tables_number 216
_symmetry_space_group_name_Hall 'F -4 2 3'
loop_
_atom_site_label
_atom_site_type_symbol
_atom_site_fract_x
_atom_site_fract_y
_atom_site_fract_z
Cd1 Cd 0.000 0.000 0.000
Pt1 Pt 0.000 0.000 0.500
Pt2 Pt 0.250 0.250 0.250
Pb1 Pb 0.250 0.250 0.750
```

Values from the calculation:
Calculated density: 15.14 g/cm³
VASP energy: -66.49 eV per cell
Total moment: 0.000 μB per atom

---

2.
Computed, not measured: crystalline Rb2ZrF6 at its relaxed geometry at the PBE level of DFT.

The structure in CIF format:
```
data_Rb2ZrF6
_chemical_formula_sum 'Rb2 Zr1 F6'
_cell_length_a 5.9643
_cell_length_b 5.9643
_cell_length_c 4.6156
_cell_angle_alpha 90.00
_cell_angle_beta 90.00
_cell_angle_gamma 120.00
_symmetry_space_group_name_H-M 'P -3 m 1'
_symmetry_Int_Tables_number 164
_symmetry_space_group_name_Hall '-P 3 2"'
loop_
_atom_site_label
_atom_site_type_symbol
_atom_site_fract_x
_atom_site_fract_y
_atom_site_fract_z
Rb1 Rb 0.3333 0.6667 0.2085
Zr1 Zr 0.0000 0.0000 0.5000
F1 F 0.1648 0.3297 0.7387
```

Values from the calculation:
Calculated density: 4.39 g/cm³
VASP energy: -51.73 eV per cell
Total moment: 0.000 μB per atom